Entry from Alexandria: CsMn3Os after structural relaxation (PBE).

The structure in POSCAR format:
```
CsMn3Os
1.0
4.834 0.000 0.000
0.000 4.834 0.000
0.000 0.000 4.834
Cs Mn Os
1 3 1
direct
0.000 0.000 0.000
0.000 0.500 0.000
0.000 0.000 0.500
0.500 0.000 0.000
0.500 0.500 0.500
```

Mass density: 7.17 g/cm3
ΔE_f: 3029 meV per atom
Total DFT energy (no corrections): -4.890 eV per atom
Space group: Pm-3m, No. 221
N(E_F): 6.14 states/eV/f.u.
V: 22.59 Å³/atom
Total moment: 12.4 μB/cell


Entry from Alexandria: CsMnOs2 after structural relaxation (PBE).

The structure in POSCAR format:
```
CsMnOs2
1.0
0.000 3.305 3.305
3.305 0.000 3.305
3.305 3.305 0.000
Cs Mn Os
1 1 2
direct
0.500 0.500 0.500
0.000 0.000 0.000
0.250 0.250 0.250
0.750 0.750 0.750
```

Mass density: 13.07 g/cm3
ΔE_f: 2113 meV per atom
Total DFT energy (no corrections): -6.007 eV per atom
Space group: Fm-3m, No. 225
N(E_F): 6.06 states/eV/f.u.
V: 18.04 Å³/atom
Total moment: 3.4 μB/cell


Entry from Alexandria: CsMn4Os2 after structural relaxation (PBE).

The structure in POSCAR format:
```
CsMn4Os2
1.0
-2.750 0.041 -4.196
2.625 -3.898 -1.758
-4.360 -6.074 -0.201
Cs Mn Os
1 4 2
direct
0.000 0.000 0.000
0.769 0.769 0.462
0.231 0.231 0.538
0.000 0.500 0.000
0.500 0.000 0.000
0.590 0.590 0.820
0.410 0.410 0.180
```

Mass density: 7.34 g/cm3
ΔE_f: 2017 meV per atom
Total DFT energy (no corrections): -6.553 eV per atom
Space group: I4/mmm, No. 139
N(E_F): 5.57 states/eV/f.u.
V: 23.68 Å³/atom
Total moment: 14.7 μB/cell


Entry from Alexandria: Cs3MnOs after structural relaxation (PBE).

The structure in POSCAR format:
```
Cs3MnOs
1.0
6.249 0.000 0.000
0.000 6.249 0.000
0.000 0.000 6.249
Cs Mn Os
3 1 1
direct
0.000 0.500 0.000
0.000 0.000 0.500
0.500 0.000 0.000
0.500 0.500 0.500
0.000 0.000 0.000
```

Mass density: 4.38 g/cm3
ΔE_f: 1592 meV per atom
Total DFT energy (no corrections): -3.000 eV per atom
Space group: Pm-3m, No. 221
N(E_F): 10.28 states/eV/f.u.
V: 48.79 Å³/atom
Total moment: 4.9 μB/cell


Entry from Alexandria: CsMnPOs2 after structural relaxation (PBE).

The structure in POSCAR format:
```
CsMnPOs2
1.0
-3.972 2.473 -0.624
-2.360 -3.353 1.736
0.494 1.880 4.302
Cs P Mn Os
1 1 1 2
direct
0.500 0.500 0.500
0.000 0.500 0.000
0.000 0.000 0.000
0.000 0.000 0.500
0.500 0.000 0.000
```

Mass density: 10.03 g/cm3
ΔE_f: 1631 meV per atom
Total DFT energy (no corrections): -5.947 eV per atom
Space group: P4/mmm, No. 123
N(E_F): 7.85 states/eV/f.u.
V: 19.85 Å³/atom
Total moment: 0.9 μB/cell


Entry from Alexandria: CsMnSbOs2 after structural relaxation (PBE).

The structure in POSCAR format:
```
CsMnSbOs2
1.0
-0.062 -4.519 1.413
3.738 -1.027 -3.121
3.125 1.022 3.407
Cs Sb Mn Os
1 1 1 2
direct
0.500 0.500 0.500
0.000 0.500 0.000
0.000 0.000 0.000
0.000 0.000 0.500
0.500 0.000 0.000
```

Mass density: 10.27 g/cm3
Formation energy without anion corrections: 1.59 eV per atom
Total DFT energy (no corrections): -5.734 eV per atom
Space group: P4/mmm, No. 123
N(E_F): 7.53 states/eV/f.u.
V: 22.32 Å³/atom
Total moment: 0.5 μB/cell


Entry from Alexandria: CsMnTc2Os after structural relaxation (PBE).

The structure in POSCAR format:
```
CsMnTc2Os
1.0
4.686 0.000 0.000
0.000 4.626 0.000
0.000 0.000 4.686
Cs Mn Os Tc
1 1 1 2
direct
0.500 0.500 0.500
0.000 0.000 0.000
0.000 0.500 0.000
0.000 0.000 0.500
0.500 0.000 0.000
```

Mass density: 9.39 g/cm3
ΔE_f: 1799 meV per atom
Total DFT energy (no corrections): -6.598 eV per atom
Space group: P4/mmm, No. 123
N(E_F): 6.14 states/eV/f.u.
V: 20.31 Å³/atom
Total moment: 2.5 μB/cell


Entry from Alexandria: CsMn3P after structural relaxation (PBE).

The structure in POSCAR format:
```
CsMn3P
1.0
4.770 0.000 0.000
0.000 4.770 0.000
0.000 0.000 4.770
Cs P Mn
1 1 3
direct
0.500 0.500 0.500
0.000 0.000 0.000
0.000 0.500 0.000
0.000 0.000 0.500
0.500 0.000 0.000
```

Mass density: 5.03 g/cm3
ΔE_f: 680 meV per atom
Total DFT energy (no corrections): -6.074 eV per atom
Space group: Pm-3m, No. 221
N(E_F): 7.12 states/eV/f.u.
V: 21.71 Å³/atom
Total moment: 11.0 μB/cell